# 1
DFT (PBE) results for a relaxed structure of HoZrPa2P4.

```
8
Lattice="3.933 0.000 0.000 0.000 6.793 0.112 0.000 -2.378 6.295" Properties=species:S:1:pos:R:3 pbc="T T T"
Ho 1.966 3.396 0.056
Zr 0.000 0.000 0.000
Pa 1.966 -1.189 3.147
Pa 0.000 2.208 3.204
P 1.966 1.072 1.552
P 1.966 3.343 4.855
P 0.000 -0.123 4.776
P 0.000 4.538 1.632
```

Values from the calculation:
M_tot, μB per formula unit: 0.00
D(E_F), states/eV per atom: 0.7620
VASP energy, eV per atom: -8.1190

# 2
DFT (PBE) results for a relaxed structure of Ho3PPb.

```
5
Lattice="5.223 0.000 0.000 0.000 5.223 0.000 0.000 0.000 5.223" Properties=species:S:1:pos:R:3 pbc="T T T"
Pb 2.611 2.611 2.611
P 0.000 0.000 0.000
Ho 0.000 2.611 0.000
Ho 0.000 0.000 2.611
Ho 2.611 0.000 0.000
```

Values from the calculation:
M_tot, μB per formula unit: 0.00
D(E_F), states/eV per atom: 0.5870
VASP energy, eV per atom: -5.2902

# 3
DFT (PBE) results for a relaxed structure of Ho2PPb.

```
4
Lattice="3.873 0.000 0.000 1.936 3.354 0.000 1.936 1.118 8.092" Properties=species:S:1:pos:R:3 pbc="T T T"
Ho 1.936 1.118 6.535
Ho 1.936 1.118 1.564
P 5.809 3.354 8.076
Pb 3.873 2.236 4.057
```

Values from the calculation:
M_tot, μB per formula unit: 0.00
ΔE to the lowest computed polymorph, meV/atom: 34
D(E_F), states/eV per atom: 0.5444
VASP energy, eV per atom: -5.5900

# 4
DFT (PBE) results for a relaxed structure of Ho3P2Rh9Pb.

```
15
Lattice="6.047 0.000 0.000 -3.023 5.236 0.000 0.000 0.000 9.493" Properties=species:S:1:pos:R:3 pbc="T T T"
Ho 0.000 3.491 7.034
Ho 0.000 0.000 0.000
Ho 3.023 1.745 2.458
P 0.000 3.491 1.490
P 3.023 1.745 8.002
Rh 4.690 0.783 7.008
Rh 3.023 3.670 7.008
Rh 1.356 0.783 7.008
Rh 1.667 4.453 2.485
Rh 0.000 1.566 2.485
Rh -1.667 4.453 2.485
Rh 3.023 0.000 0.000
Rh -1.512 2.618 0.000
Rh 1.512 2.618 0.000
Pb 0.000 0.000 4.746
```

Values from the calculation:
M_tot, μB per formula unit: 0.00
D(E_F), states/eV per atom: 0.3536
VASP energy, eV per atom: -6.9066

# 5
DFT (PBE) results for a relaxed structure of Ho3PPbS.

```
12
Lattice="4.036 0.000 0.000 0.000 7.128 0.106 0.000 -2.555 10.595" Properties=species:S:1:pos:R:3 pbc="T T T"
Ho 1.009 4.138 5.304
Ho 3.027 -0.098 1.593
Ho 3.027 3.585 1.711
Ho 3.027 0.435 5.397
Ho 1.009 0.988 8.990
Ho 1.009 4.671 9.108
P 1.009 5.324 0.652
P 3.027 -0.751 10.049
Pb 3.027 2.857 7.406
Pb 1.009 1.716 3.295
S 1.009 -0.740 6.788
S 3.027 5.313 3.913
```

Values from the calculation:
M_tot, μB per formula unit: 0.00
E_form (uncorrected), meV per atom: -1294
D(E_F), states/eV per atom: 0.2973
VASP energy, eV per atom: -5.7904

# 6
DFT (PBE) results for a relaxed structure of Ho6P3PbS2.

```
12
Lattice="3.980 0.000 0.000 0.000 8.174 0.294 -1.990 -2.352 8.486" Properties=species:S:1:pos:R:3 pbc="T T T"
Ho 0.000 5.965 5.788
Ho 1.990 4.043 2.983
Ho 1.990 -0.143 2.991
Ho 0.000 2.229 0.084
Ho 1.990 3.594 8.696
Ho 0.000 1.779 5.796
P 1.990 4.087 0.147
P 1.990 -0.190 5.714
P 0.000 6.013 3.066
Pb 1.990 0.000 0.000
S 1.990 3.842 5.789
S 0.000 1.980 2.991
```

Values from the calculation:
M_tot, μB per formula unit: 0.00
E_form (uncorrected), meV per atom: -1543
D(E_F), states/eV per atom: 0.1992
VASP energy, eV per atom: -6.1812

# 7
DFT (PBE) results for a relaxed structure of Ho2Sc2PPb2.

```
7
Lattice="4.823 0.000 0.000 0.000 4.823 0.000 -2.411 -2.411 8.011" Properties=species:S:1:pos:R:3 pbc="T T T"
Ho 0.000 0.000 2.687
Ho 2.411 2.411 5.324
Sc 0.000 2.411 0.000
Sc 2.411 0.000 0.000
P 0.000 0.000 0.000
Pb 0.000 0.000 5.855
Pb 2.411 2.411 2.156
```

Values from the calculation:
M_tot, μB per formula unit: 0.00
D(E_F), states/eV per atom: 0.6480
VASP energy, eV per atom: -5.6952

# 8
DFT (PBE) results for a relaxed structure of HoP3Pd3.

```
14
Lattice="6.527 0.000 0.000 0.000 6.527 0.000 0.000 0.000 6.527" Properties=species:S:1:pos:R:3 pbc="T T T"
P 1.632 0.000 3.263
P 0.000 3.263 1.632
P 3.263 4.895 0.000
P 4.895 0.000 3.263
P 0.000 3.263 4.895
P 3.263 1.632 0.000
Ho 3.263 3.263 3.263
Ho 0.000 0.000 0.000
Pd 0.000 1.632 3.263
Pd 0.000 4.895 3.263
Pd 3.263 0.000 4.895
Pd 4.895 3.263 0.000
Pd 3.263 0.000 1.632
Pd 1.632 3.263 0.000
```

Values from the calculation:
M_tot, μB per formula unit: 0.00
D(E_F), states/eV per atom: 0.6588
VASP energy, eV per atom: -5.5323

# 9
DFT (PBE) results for a relaxed structure of HoP2Pd5.

```
8
Lattice="4.040 0.000 0.000 2.020 5.811 0.247 2.020 1.310 5.667" Properties=species:S:1:pos:R:3 pbc="T T T"
Ho 0.000 0.000 0.000
P 6.060 5.365 4.456
P 2.020 1.756 1.458
Pd 2.020 3.561 2.957
Pd 4.040 3.372 0.973
Pd 4.040 3.750 4.940
Pd 4.040 5.545 2.778
Pd 4.040 1.576 3.135
```

Values from the calculation:
M_tot, μB per formula unit: 0.00
D(E_F), states/eV per atom: 0.3880
VASP energy, eV per atom: -5.8905

# 10
DFT (PBE) results for a relaxed structure of HoPPd6.

```
8
Lattice="5.595 0.000 0.000 2.798 4.845 0.000 2.798 1.615 5.624" Properties=species:S:1:pos:R:3 pbc="T T T"
Ho 5.595 3.230 2.812
P 0.000 0.000 0.000
Pd 9.738 5.622 4.146
Pd 7.047 5.622 4.146
Pd 2.797 3.169 1.478
Pd 4.143 0.838 1.478
Pd 1.452 0.838 1.478
Pd 8.393 3.291 4.146
```

Values from the calculation:
M_tot, μB per formula unit: 0.00
D(E_F), states/eV per atom: 0.3566
VASP energy, eV per atom: -5.5995

# 11
DFT (PBE) results for a relaxed structure of Ho3P6Pd20.

```
29
Lattice="8.665 0.000 0.000 4.332 7.504 0.000 4.332 2.501 7.075" Properties=species:S:1:pos:R:3 pbc="T T T"
Ho 4.332 2.501 1.769
Ho 12.997 7.504 5.306
Ho 0.000 0.000 0.000
P 8.665 2.635 1.863
P 8.665 7.370 5.212
P 6.614 6.186 1.863
P 10.715 3.819 5.212
P 6.614 3.819 5.212
P 10.715 6.186 1.863
Pd 6.658 3.844 2.718
Pd 10.672 6.162 4.357
Pd 8.665 5.003 5.996
Pd 8.665 7.321 2.718
Pd 8.665 5.003 1.079
Pd 8.665 2.685 4.357
Pd 10.672 3.844 2.718
Pd 6.658 6.162 4.357
Pd 2.991 0.000 0.000
Pd 5.674 0.000 0.000
Pd 4.332 4.228 4.633
Pd 4.332 5.777 2.442
Pd 1.496 2.590 0.000
Pd 7.169 0.863 2.442
Pd 2.837 4.914 0.000
Pd 5.828 1.638 4.633
Pd 1.496 0.863 2.442
Pd 2.837 1.638 4.633
Pd 7.169 2.590 0.000
Pd 5.828 4.914 0.000
```

Values from the calculation:
M_tot, μB per formula unit: 0.00
D(E_F), states/eV per atom: 0.6806
VASP energy, eV per atom: -5.8980